No. 1
Material: CeGa4OsPd2
Method: DFT, PBE
State: optimized geometry

## Properties
**Energy**: -43.3 eV/f.u.
**Total magnetization**: 0.4 μB per formula unit

abc: 9.200 9.200 9.200
angles: 26.93 26.93 26.93
Fractional coordinates of all 8 atoms:
Ce 0.000 0.000 0.000
Ga 0.134 0.134 0.134
Ga 0.400 0.400 0.400
Ga 0.600 0.600 0.600
Ga 0.866 0.866 0.866
Os 0.500 0.500 0.500
Pd 0.237 0.237 0.237
Pd 0.763 0.763 0.763

No. 2
Material: ZrBe2Au
Method: DFT, PBE
State: optimized geometry

## Properties
**E above lowest polymorph**: 316.5 meV per atom
**Total magnetization**: 0.0 μB per formula unit

abc: 5.674 5.674 5.674
angles: 149.29 140.57 50.79
Fractional coordinates of all 4 atoms:
Zr 0.000 0.000 0.000
Be 0.604 0.604 0.000
Be 0.749 0.249 0.500
Au 0.264 0.764 0.500

No. 3
Material: BaIn
Method: DFT, PBE
State: optimized geometry

## Properties
**Energy**: -4.7 eV/f.u.
**Total magnetization**: 0.0 μB per formula unit

abc: 9.003 9.003 9.003
angles: 109.47 109.47 109.47
Fractional coordinates of all 8 atoms:
Ba 0.000 0.000 0.403
Ba 0.000 0.403 0.000
Ba 0.403 0.000 0.000
Ba 0.597 0.597 0.597
In 0.000 0.000 0.787
In 0.000 0.787 0.000
In 0.213 0.213 0.213
In 0.787 0.000 0.000

No. 4
Material: Mg5As
Method: DFT, PBE
State: optimized geometry

## Properties
**E above lowest polymorph**: 233.8 meV per atom
**Total magnetization**: 0.0 μB per formula unit

abc: 5.784 5.784 5.784
angles: 60.00 60.00 60.00
Fractional coordinates of all 6 atoms:
Mg 0.000 0.000 0.000
Mg 0.126 0.625 0.625
Mg 0.625 0.126 0.625
Mg 0.625 0.625 0.126
Mg 0.625 0.625 0.625
As 0.250 0.250 0.250

No. 5
Material: LiPrHo2Se4
Method: DFT, PBE
State: optimized geometry

## Properties
**Energy relative to the elements, uncorrected**: -1.7386 eV per atom
**Total magnetization**: 0.0 μB per formula unit

abc: 7.116 4.082 7.138
angles: 90.00 109.13 90.00
Fractional coordinates of all 8 atoms:
Li 0.000 0.000 0.000
Pr 0.500 0.500 0.000
Ho 0.000 0.500 0.500
Ho 0.500 0.000 0.500
Se 0.236 0.000 0.741
Se 0.243 0.500 0.254
Se 0.757 0.500 0.746
Se 0.764 0.000 0.259

No. 6
Material: DyHoSb2O8
Method: DFT, PBE
State: optimized geometry

## Properties
**Energy relative to the elements, uncorrected**: -2.3541 eV per atom
**Total magnetization**: 0.0 μB per formula unit

abc: 6.711 6.711 6.711
angles: 133.96 133.96 67.15
Fractional coordinates of all 12 atoms:
Dy 0.000 0.000 0.000
Ho 0.250 0.750 0.500
Sb 0.500 0.500 0.000
Sb 0.750 0.250 0.500
O 0.023 0.085 0.430
O 0.227 0.665 0.072
O 0.335 0.407 0.563
O 0.406 0.977 0.061
O 0.593 0.156 0.928
O 0.655 0.594 0.570
O 0.844 0.773 0.437
O 0.915 0.345 0.939

No. 7
Material: LiHoMgCu
Method: DFT, PBE
State: optimized geometry

## Properties
**Energy**: -12.5 eV/f.u.
**Total magnetization**: 0.0 μB per formula unit

abc: 4.783 4.783 4.783
angles: 60.00 60.00 60.00
Fractional coordinates of all 4 atoms:
Li 0.000 0.000 0.000
Ho 0.250 0.250 0.250
Mg 0.750 0.750 0.750
Cu 0.500 0.500 0.500

No. 8
Material: HfTi3Ga2C
Method: DFT, PBE
State: optimized geometry

## Properties
**Energy**: -51.4 eV/f.u.
**Total magnetization**: 0.0 μB per formula unit

abc: 7.482 7.482 7.482
angles: 148.16 146.63 46.79
Fractional coordinates of all 7 atoms:
Hf 0.000 0.000 0.000
Ti 0.344 0.844 0.500
Ti 0.500 0.500 0.000
Ti 0.656 0.156 0.500
Ga 0.145 0.645 0.500
Ga 0.855 0.355 0.500
C 0.500 0.000 0.500

No. 9
Material: DyY5Ge4
Method: DFT, PBE
State: optimized geometry

## Properties
**Energy**: -61.7 eV/f.u.
**Total magnetization**: 1.2 μB per formula unit

abc: 9.585 9.585 7.707
angles: 113.13 113.13 26.09
Fractional coordinates of all 10 atoms:
Dy 0.000 0.000 0.000
Y 0.000 0.000 0.500
Y 0.334 0.334 0.073
Y 0.336 0.336 0.588
Y 0.664 0.664 0.412
Y 0.666 0.666 0.927
Ge 0.195 0.195 0.198
Ge 0.499 0.499 0.253
Ge 0.501 0.501 0.747
Ge 0.805 0.805 0.802

No. 10
Material: Li3Tb2HoTe6
Method: DFT, PBE
State: optimized geometry

## Properties
**Energy relative to the elements, uncorrected**: -1.2931 eV per atom
**Total magnetization**: 0.0 μB per formula unit

abc: 7.530 7.530 7.495
angles: 99.65 99.65 120.00
Fractional coordinates of all 12 atoms:
Li 0.000 0.000 0.000
Li 0.333 0.667 0.000
Li 0.667 0.333 0.000
Tb 0.167 0.833 0.500
Tb 0.833 0.167 0.500
Ho 0.500 0.500 0.500
Te 0.083 0.415 0.244
Te 0.254 0.254 0.755
Te 0.415 0.083 0.244
Te 0.585 0.917 0.756
Te 0.746 0.746 0.245
Te 0.917 0.585 0.756

No. 11
Material: MnTl2Cr
Method: DFT, PBE
State: optimized geometry

## Properties
**E above lowest polymorph**: 236.9 meV per atom
**Total magnetization**: 7.7 μB per formula unit

abc: 9.230 9.230 9.230
angles: 20.57 20.57 20.57
Fractional coordinates of all 4 atoms:
Mn 0.000 0.000 0.000
Tl 0.250 0.250 0.250
Tl 0.750 0.750 0.750
Cr 0.500 0.500 0.500

No. 12
Material: PrPdI
Method: DFT, PBE
State: optimized geometry

## Properties
**Energy relative to the elements, uncorrected**: -0.9881 eV per atom
**E above lowest polymorph**: 66.1 meV per atom
**Total magnetization**: 0.0 μB per formula unit

abc: 10.934 10.934 4.429
angles: 90.61 90.61 20.91
Fractional coordinates of all 6 atoms:
Pr 0.078 0.078 0.254
Pr 0.922 0.922 0.746
Pd 0.464 0.464 0.248
Pd 0.536 0.536 0.752
I 0.332 0.332 0.241
I 0.668 0.668 0.759